An optimized crystal structure of GeTeH3, computed with PBE. Values from VASP.

Cell and atoms, written as Quantum ESPRESSO input:
```
&SYSTEM
  ibrav = 0, nat = 10, ntyp = 3
/
ATOMIC_SPECIES
Ge 72.64 Ge.upf
Te 127.60 Te.upf
H 1.01 H.upf
CELL_PARAMETERS angstrom
-5.749 2.854 0.241
0.484 -6.406 1.612
0.735 0.888 5.977
ATOMIC_POSITIONS crystal
Ge 0.178 0.518 0.711
Ge 0.818 0.837 0.190
Te 0.331 0.218 0.727
Te 0.275 0.113 0.186
H 0.702 0.971 0.072
H 0.952 0.415 0.862
H 0.727 0.759 0.433
H 0.127 0.561 0.469
H 0.773 0.628 0.070
H 0.374 0.744 0.788
```

Output
Total DFT energy (no corrections)   -34.78 eV per cell
Total magnetization   0.000 μB per atom